(1)
Pu2TiTl3Se6 | PBE | optimized geometry

Output
Size of the total moment in μB per formula unit: 11.0
E in eV per atom: -6.392
Calculated volume in Å³/cell: 334.8
Formation energy without anion corrections in meV per atom: -1012
ρ in g cm⁻³: 8.0

Lattice parameters (Å, degrees): 7.059 7.059 8.093 98.35 98.35 119.81
Atoms (fractional coordinates):
Pu (0.334, 0.666, 0.000)
Pu (0.666, 0.334, 0.000)
Ti (0.000, 0.000, 0.000)
Tl (0.173, 0.827, 0.500)
Tl (0.827, 0.173, 0.500)
Tl (0.500, 0.500, 0.500)
Se (0.934, 0.625, 0.803)
Se (0.758, 0.758, 0.204)
Se (0.066, 0.375, 0.197)
Se (0.625, 0.934, 0.803)
Se (0.242, 0.242, 0.796)
Se (0.375, 0.066, 0.197)



(2)
UTaN | PBE | optimized geometry

Output
Size of the total moment in μB per formula unit: 0.0
E in eV per atom: -11.156
Calculated volume in Å³/cell: 45.9
Formation energy without anion corrections in meV per atom: -668
Offset from the most stable computed form in meV per atom: 0
ρ in g cm⁻³: 15.6

Lattice parameters (Å, degrees): 5.664 3.060 3.060 120.00 90.00 90.00
Atoms (fractional coordinates):
N (0.307, 0.667, 0.333)
U (0.601, 0.333, 0.667)
Ta (0.092, 0.000, 0.000)



(3)
PmPr15Y4 | PBE | optimized geometry

Output
Size of the total moment in μB per formula unit: 0.0
E in eV per atom: -5.107
Calculated volume in Å³/cell: 709.0
ρ in g cm⁻³: 6.1
E_form in kcal/mol of atoms: 0.2

Lattice parameters (Å, degrees): 5.223 5.223 25.992 90.00 90.00 90.00
Atoms (fractional coordinates):
Pm (0.000, 0.000, 0.000)
Pr (0.500, 0.500, 0.000)
Pr (0.500, 0.500, 0.201)
Pr (0.500, 0.500, 0.400)
Pr (0.500, 0.500, 0.600)
Pr (0.500, 0.500, 0.799)
Pr (0.500, 0.000, 0.101)
Pr (0.500, 0.000, 0.300)
Pr (0.500, 0.000, 0.500)
Pr (0.500, 0.000, 0.700)
Pr (0.500, 0.000, 0.899)
Pr (0.000, 0.500, 0.101)
Pr (0.000, 0.500, 0.300)
Pr (0.000, 0.500, 0.500)
Pr (0.000, 0.500, 0.700)
Pr (0.000, 0.500, 0.899)
Y (0.000, 0.000, 0.201)
Y (0.000, 0.000, 0.400)
Y (0.000, 0.000, 0.600)
Y (0.000, 0.000, 0.799)



(4)
La2ZrTi | PBE | optimized geometry

Output
Size of the total moment in μB per formula unit: 0.0
E in eV per atom: -6.233
Calculated volume in Å³/cell: 107.3
Offset from the most stable computed form in meV per atom: 0
ρ in g cm⁻³: 6.5
E_form in kcal/mol of atoms: 7.9

Lattice parameters (Å, degrees): 5.334 5.334 5.334 60.00 60.00 60.00
Atoms (fractional coordinates):
Ti (0.000, 0.000, 0.000)
Zr (0.500, 0.500, 0.500)
La (0.250, 0.250, 0.250)
La (0.750, 0.750, 0.750)



(5)
TaTe2Se | PBE | optimized geometry

Output
Size of the total moment in μB per formula unit: 0.0
E in eV per atom: -5.598
Calculated volume in Å³/cell: 108.8
Formation energy without anion corrections in meV per atom: -193
ρ in g cm⁻³: 7.9

Lattice parameters (Å, degrees): 3.186 3.185 10.726 90.00 90.00 90.00
Atoms (fractional coordinates):
Se (0.000, 0.000, 0.593)
Ta (0.500, 0.500, 0.732)
Te (0.000, 0.000, 0.914)
Te (0.500, 0.500, 0.261)



(6)
Li2Er3Pt5 | PBE | optimized geometry

Output
Size of the total moment in μB per formula unit: 0.0
E in eV per atom: -5.808
Calculated volume in Å³/cell: 348.3
ρ in g cm⁻³: 14.2
E_form in kcal/mol of atoms: -23.9

Lattice parameters (Å, degrees): 3.708 9.692 9.692 90.00 90.00 90.00
Atoms (fractional coordinates):
Li (0.000, 0.120, 0.620)
Li (0.000, 0.880, 0.380)
Li (0.000, 0.380, 0.120)
Li (0.000, 0.620, 0.880)
Er (0.000, 0.325, 0.825)
Er (0.000, 0.675, 0.175)
Er (0.000, 0.175, 0.325)
Er (0.000, 0.825, 0.675)
Er (0.000, 0.000, 0.000)
Er (0.000, 0.500, 0.500)
Pt (0.500, 0.215, 0.070)
Pt (0.500, 0.785, 0.930)
Pt (0.500, 0.930, 0.215)
Pt (0.500, 0.070, 0.785)
Pt (0.500, 0.285, 0.570)
Pt (0.500, 0.715, 0.430)
Pt (0.500, 0.570, 0.715)
Pt (0.500, 0.430, 0.285)
Pt (0.500, 0.000, 0.500)
Pt (0.500, 0.500, 0.000)



(7)
La2ZrRe | PBE | optimized geometry

Output
Size of the total moment in μB per formula unit: 0.0
E in eV per atom: -7.381
Calculated volume in Å³/cell: 104.0
Offset from the most stable computed form in meV per atom: 225
ρ in g cm⁻³: 8.9
E_form in kcal/mol of atoms: 7.6

Lattice parameters (Å, degrees): 10.354 10.354 10.354 19.11 19.11 19.11
Atoms (fractional coordinates):
La (0.004, 0.004, 0.004)
La (0.236, 0.236, 0.236)
Re (0.494, 0.494, 0.494)
Zr (0.766, 0.766, 0.766)



(8)
MnSb2Cl | PBE | optimized geometry

Output
Size of the total moment in μB per formula unit: 0.0
E in eV per atom: -4.150
Calculated volume in Å³/cell: 80.0
Formation energy without anion corrections in meV per atom: 665
Offset from the most stable computed form in meV per atom: 866
ρ in g cm⁻³: 6.9

Lattice parameters (Å, degrees): 4.837 4.837 4.837 60.00 60.00 60.00
Atoms (fractional coordinates):
Sb (0.250, 0.250, 0.250)
Sb (0.750, 0.750, 0.750)
Mn (0.500, 0.500, 0.500)
Cl (0.000, 0.000, 0.000)



(9)
AlRuS | PBE | optimized geometry

Output
Size of the total moment in μB per formula unit: 0.0
E in eV per atom: -6.122
Calculated volume in Å³/cell: 96.3
Formation energy without anion corrections in meV per atom: -407
Offset from the most stable computed form in meV per atom: 98
ρ in g cm⁻³: 5.5

Lattice parameters (Å, degrees): 5.316 3.008 6.289 90.00 106.72 90.00
Atoms (fractional coordinates):
Ru (0.805, 0.500, 0.620)
Ru (0.195, 0.500, 0.380)
S (0.326, 0.000, 0.160)
S (0.674, 0.000, 0.840)
Al (0.206, 0.000, 0.737)
Al (0.794, 0.000, 0.263)



(10)
AlFe3Hg | PBE | optimized geometry

Output
Size of the total moment in μB per formula unit: 9.0
E in eV per atom: -4.328
Calculated volume in Å³/cell: 111.3
Offset from the most stable computed form in meV per atom: 575
ρ in g cm⁻³: 5.9
E_form in kcal/mol of atoms: 35.9

Lattice parameters (Å, degrees): 4.810 4.810 4.810 90.00 90.00 90.00
Atoms (fractional coordinates):
Al (0.500, 0.500, 0.500)
Hg (0.000, 0.000, 0.000)
Fe (0.000, 0.500, 0.000)
Fe (0.000, 0.000, 0.500)
Fe (0.500, 0.000, 0.000)



(11)
PmDy7Sc2 | PBE | optimized geometry

Output
Size of the total moment in μB per formula unit: 0.0
E in eV per atom: -4.308
Calculated volume in Å³/cell: 370.1
Offset from the most stable computed form in meV per atom: 596
ρ in g cm⁻³: 6.2
E_form in kcal/mol of atoms: 15.1

Lattice parameters (Å, degrees): 5.574 8.736 8.736 119.56 90.00 90.00
Atoms (fractional coordinates):
Pm (0.000, 0.000, 0.000)
Dy (0.000, 0.758, 0.242)
Dy (0.000, 0.242, 0.758)
Dy (0.500, 0.060, 0.303)
Dy (0.500, 0.940, 0.697)
Dy (0.500, 0.303, 0.060)
Dy (0.500, 0.697, 0.940)
Dy (0.500, 0.500, 0.500)
Sc (0.500, 0.704, 0.296)
Sc (0.500, 0.296, 0.704)



(12)
MgAs2PdSe | PBE | optimized geometry

Output
Size of the total moment in μB per formula unit: 0.7
E in eV per atom: -3.631
Calculated volume in Å³/cell: 121.8
Formation energy without anion corrections in meV per atom: 283
Offset from the most stable computed form in meV per atom: 0
ρ in g cm⁻³: 4.9

Lattice parameters (Å, degrees): 4.809 4.809 5.265 90.00 90.00 90.00
Atoms (fractional coordinates):
Mg (0.500, 0.500, 0.500)
As (0.000, 0.500, 0.000)
As (0.500, 0.000, 0.000)
Se (0.000, 0.000, 0.500)
Pd (0.000, 0.000, 0.000)